DFT (PBE) results for crystalline As2RhN at its relaxed geometry.

Cell lengths 6.053, 6.053, 6.053 Å; angles 127.71, 127.71, 77.09 degrees
Positions (direct):
As  0.081  0.625  0.956
As  0.375  0.331  0.456
As  0.669  0.125  0.044
As  0.875  0.919  0.544
Rh  0.250  0.750  0.500
Rh  0.500  0.500  0.000
N  0.000  0.000  0.000
N  0.750  0.250  0.500

## Properties
Crystal system: tetragonal
SG: I-42d
Energy relative to the elements, uncorrected (meV/atom): 310